## A
{"formula": "Li3MgBi", "functional": "GGA-PBE", "state": "optimized geometry", "crystal_system": "monoclinic", "m_tot_mub_per_atom": 0.000, "sg": "No. 11", "cell": [[-1.4759, -4.4927, 1.2523], [7.7274, -2.6259, -0.3131], [-2.4091, 3.6442, 10.2344]], "species": ["Li", "Li", "Li", "Li", "Li", "Li", "Li", "Li", "Li", "Li", "Li", "Li", "Mg", "Mg", "Mg", "Mg", "Bi", "Bi", "Bi", "Bi"], "frac_coords": [[0.2500, 0.9007, 0.2749], [0.7500, 0.0993, 0.7251], [0.7500, 0.0993, 0.2251], [0.2500, 0.9007, 0.7749], [0.2500, 0.6885, 0.4851], [0.7500, 0.3115, 0.5149], [0.7500, 0.3115, 0.0149], [0.2500, 0.6885, 0.9851], [0.2500, 0.5106, 0.6749], [0.7500, 0.4894, 0.3251], [0.7500, 0.4894, 0.8251], [0.2500, 0.5106, 0.1749], [0.2500, 0.1066, 0.5571], [0.7500, 0.8934, 0.4429], [0.7500, 0.8934, 0.9429], [0.2500, 0.1066, 0.0571], [0.7500, 0.7047, 0.1489], [0.2500, 0.2953, 0.8511], [0.2500, 0.2953, 0.3511], [0.7500, 0.7047, 0.6489]]}


## B
{"formula": "Li3MgBi", "functional": "GGA-PBE", "state": "optimized geometry", "crystal_system": "cubic", "m_tot_mub_per_atom": 0.000, "sg": "No. 221", "cell": [[-3.1746, 1.9602, 3.8105], [-2.9961, -4.4058, -0.2296], [3.0637, -2.2774, 3.7239]], "species": ["Mg", "Bi", "Li", "Li", "Li"], "frac_coords": [[0.5000, 0.5000, 0.5000], [0.0000, 0.0000, 0.0000], [0.0000, 0.5000, 0.0000], [0.0000, 0.0000, 0.5000], [0.5000, 0.0000, 0.0000]]}


Question: of the structures shown, which is the least stable? Reply: B.